VASP calculation (PBE) on a relaxed Na3Nd2ErSe6 crystal.

Computed properties:
Total DFT energy (no corrections) in eV/atom: -4.9341
Mass density in g/cm³: 5.1
SG: C2/m
ΔE_f (raw) in eV/f.u.: -20.246

Unit cell a=7.3237 b=7.3237 c=7.4294 alpha=99.47 beta=99.47 gamma=120.01
Closest atoms and distances in Å follow each position.
Atoms (fractional coordinates):
Na1 0.1677 0.8323 0.5000  6 Se 3.05-3.12
Na2 0.8323 0.1677 0.5000  6 Se 3.05-3.12
Na3 0.5000 0.5000 0.5000  6 Se 3.05-3.14
Nd1 0.3335 0.6665 0.0000  6 Se 2.97
Nd2 0.6665 0.3335 0.0000  6 Se 2.97
Er1 0.0000 0.0000 0.0000  6 Se 2.87-2.88
Se1 0.9222 0.5986 0.7665  1 Er 2.88, 2 Nd 2.97, 3 Na 3.05-3.12
Se2 0.7544 0.7544 0.2325  1 Er 2.87, 2 Nd 2.97, 3 Na 3.06-3.14
Se3 0.0778 0.4014 0.2335  1 Er 2.88, 2 Nd 2.97, 3 Na 3.05-3.12
Se4 0.5986 0.9222 0.7665  1 Er 2.88, 2 Nd 2.97, 3 Na 3.05-3.12
Se5 0.2456 0.2456 0.7675  1 Er 2.87, 2 Nd 2.97, 3 Na 3.06-3.14
Se6 0.4014 0.0778 0.2335  1 Er 2.88, 2 Nd 2.97, 3 Na 3.05-3.12



VASP calculation (PBE) on a relaxed SrWSe crystal.

Computed properties:
Total DFT energy (no corrections) in eV/atom: -5.2241
Mass density in g/cm³: 8.0
Energy relative to the lowest polymorph listed for this composition in kJ/mol of formula units: 200
SG: F-43m
ΔE_f (raw) in eV/f.u.: 2.447

Unit cell a=4.6910 b=4.6910 c=4.6910 alpha=60.00 beta=60.00 gamma=60.00
Closest atoms and distances in Å follow each position.
Atoms (fractional coordinates):
Se1 0.7500 0.7500 0.7500  4 W 2.87, 4 Sr 2.87
Sr1 0.0000 0.0000 0.0000  4 Se 2.87
W1 0.5000 0.5000 0.5000  4 Se 2.87



VASP calculation (PBE) on a relaxed DyLuPu crystal.

Computed properties:
Energy of formation from the pure elements in eV/atom: 0.104
Total DFT energy (no corrections) in eV/atom: -7.7148
Mass density in g/cm³: 11.0
Energy relative to the lowest polymorph listed for this composition in kJ/mol of formula units: 0
SG: I4mm

Unit cell a=3.4660 b=3.4660 c=7.6958 alpha=103.01 beta=103.01 gamma=90.00
Closest atoms and distances in Å follow each position.
Atoms (fractional coordinates):
Lu1 0.6695 0.6695 0.3391  4 Pu 3.41, 4 Lu 3.47, 4 Dy 3.50
Pu1 0.3322 0.3322 0.6645  4 Lu 3.41, 4 Dy 3.45, 4 Pu 3.47
Dy1 0.9982 0.9982 0.9965  4 Pu 3.45, 4 Dy 3.47, 4 Lu 3.50



VASP calculation (PBE) on a relaxed SnBi crystal.

Computed properties:
Energy of formation from the pure elements in eV/atom: 0.053
Total DFT energy (no corrections) in eV/atom: -3.8890
Mass density in g/cm³: 8.7
SG: P-1

Unit cell a=3.3432 b=6.0232 c=7.0550 alpha=64.73 beta=76.83 gamma=89.62
Closest atoms and distances in Å follow each position.
Atoms (fractional coordinates):
Bi1 0.4044 0.3511 0.2626  3 Sn 3.21-3.24, 3 Bi 3.26-3.34
Bi2 0.5956 0.6489 0.7374  3 Sn 3.21-3.24, 3 Bi 3.26-3.34
Sn1 0.9337 0.1337 0.7652  3 Sn 3.14-3.34, 3 Bi 3.21-3.24
Sn2 0.0663 0.8663 0.2348  3 Sn 3.14-3.34, 3 Bi 3.21-3.24



VASP calculation (PBE) on a relaxed SrScBiPd2 crystal.

Computed properties:
Energy of formation from the pure elements in eV/atom: 0.042
Total DFT energy (no corrections) in eV/atom: -4.4143
Mass density in g/cm³: 6.2
SG: P4/mmm

Unit cell a=5.2655 b=5.3806 c=5.2655 alpha=90.00 beta=90.00 gamma=90.00
Closest atoms and distances in Å follow each position.
Atoms (fractional coordinates):
Sc1 0.0000 0.5000 0.0000  2 Bi 2.69
Sr1 0.5000 0.5000 0.5000  4 Sc 3.72, 8 Pd 3.76
Bi1 0.0000 0.0000 0.0000  4 Pd 2.63, 2 Sc 2.69
Pd1 0.0000 0.0000 0.5000  2 Bi 2.63
Pd2 0.5000 0.0000 0.0000  2 Bi 2.63



VASP calculation (PBE) on a relaxed HoEr3Os crystal.

Computed properties:
Energy of formation from the pure elements in eV/atom: 0.003
Total DFT energy (no corrections) in eV/atom: -5.8965
Mass density in g/cm³: 10.2
Energy relative to the lowest polymorph listed for this composition in kJ/mol of formula units: 83
SG: C2/m

Unit cell a=3.5504 b=9.4817 c=8.7779 alpha=105.60 beta=101.67 gamma=90.00
Closest atoms and distances in Å follow each position.
Atoms (fractional coordinates):
Ho1 0.6924 0.3072 0.3848  2 Os 2.85
Ho2 0.3076 0.6928 0.6152  2 Os 2.85
Er1 0.0012 0.1760 0.0024  2 Os 2.81-2.82
Er2 0.9988 0.8240 0.9976  2 Os 2.81-2.82
Er3 0.3147 0.1299 0.6294  3 Os 2.84-2.94
Er4 0.6853 0.8701 0.3706  3 Os 2.84-2.94
Er5 0.0989 0.5401 0.1978  7 Er 3.27-3.57, 3 Ho 3.48-3.54
Er6 0.9011 0.4599 0.8022  7 Er 3.27-3.57, 3 Ho 3.48-3.54
Os1 0.8626 0.9347 0.7253  5 Er 2.81-2.94, 2 Ho 2.85
Os2 0.1374 0.0653 0.2747  5 Er 2.81-2.94, 2 Ho 2.85



VASP calculation (PBE) on a relaxed SbSe2Cl crystal.

Computed properties:
Total DFT energy (no corrections) in eV/atom: -3.3429
Mass density in g/cm³: 4.4
Energy relative to the lowest polymorph listed for this composition in kJ/mol of formula units: 78
SG: R-3m
ΔE_f (raw) in eV/f.u.: -0.434

Unit cell a=8.6906 b=8.6906 c=8.6906 alpha=27.08 beta=27.08 gamma=27.08
Closest atoms and distances in Å follow each position.
Atoms (fractional coordinates):
Sb1 0.5000 0.5000 0.5000  6 Se 2.89
Se1 0.9006 0.9006 0.9006  1 Cl 2.50
Se2 0.0994 0.0994 0.0994  1 Cl 2.50
Cl1 0.0000 0.0000 0.0000  2 Se 2.50



VASP calculation (PBE) on a relaxed BeTc2Te crystal.

Computed properties:
Total DFT energy (no corrections) in eV/atom: -6.6077
Mass density in g/cm³: 9.3
Energy relative to the lowest polymorph listed for this composition in kJ/mol of formula units: 62
SG: C2/m
ΔE_f (raw) in eV/f.u.: 1.169

Unit cell a=4.4756 b=4.4756 c=4.8062 alpha=71.39 beta=71.39 gamma=41.11
Closest atoms and distances in Å follow each position.
Atoms (fractional coordinates):
Be1 0.7500 0.7500 0.7500  4 Tc 2.34
Te1 0.2500 0.2500 0.2500  6 Tc 2.62-2.81, 4 Be 2.87
Tc1 0.0363 0.0363 0.9592  2 Be 2.34
Tc2 0.4637 0.4637 0.5408  2 Be 2.34